Density functional theory data (GGA-PBE) for crystalline K2MgB at its relaxed geometry.

a b c (Å): 8.0749 8.0749 8.0749
angles (deg): 90.00 90.00 90.00
Closest atoms and distances in Å follow each position.
Space group Fm-3m (No. 225)
Inequivalent atoms, fractional coordinates:
K: 0.2500 0.2500 0.2500 (multiplicity 8)  4 Mg 3.50, 4 B 3.50
Mg: 0.0000 0.0000 0.0000 (multiplicity 4)  8 K 3.50
B: 0.0000 0.0000 0.5000 (multiplicity 4)  8 K 3.50

energy relative to the elements = 440.4 kJ/mol of formula units
excess energy over the best structure of this formula in the dataset = 440 meV/atom
electronic total energy = -23.61 eV/cell


Density functional theory data (GGA-PBE) for crystalline K2MgB at its relaxed geometry.

a b c (Å): 12.2323 12.2323 4.5344
angles (deg): 90.00 90.00 90.00
Closest atoms and distances in Å follow each position.
Space group I-42d (No. 122)
Inequivalent atoms, fractional coordinates:
K: 0.0607 0.7500 0.1250 (multiplicity 8)  2 B 3.20, 2 Mg 3.58
Mg: 0.0000 0.0000 0.5000 (multiplicity 4)  2 B 2.27
B: 0.0000 0.0000 0.0000 (multiplicity 4)  2 Mg 2.27

energy relative to the elements = 270.4 kJ/mol of formula units
excess energy over the best structure of this formula in the dataset = 0 meV/atom
electronic total energy = -30.66 eV/cell


Density functional theory data (GGA-PBE) for crystalline KMg14B at its relaxed geometry.

a b c (Å): 6.4886 6.4886 10.1359
angles (deg): 90.00 90.00 120.00
Closest atoms and distances in Å follow each position.
Space group P-6m2 (No. 187)
Inequivalent atoms, fractional coordinates:
K: 0.0000 0.0000 0.0000 (multiplicity 1)  12 Mg 3.24-3.39
Mg: 0.0116 0.5058 0.0000 (multiplicity 3)  10 Mg 3.13-3.43, 2 K 3.24
Mg: 0.1598 0.3197 0.2832 (multiplicity 6)  1 B 2.84, 4 Mg 2.95-3.11
Mg: 0.5095 0.0189 0.5000 (multiplicity 3)  8 Mg 2.95-3.15, 2 B 3.25
Mg: 0.6667 0.3333 0.2427 (multiplicity 2)  12 Mg 3.13-3.27
B: 0.0000 0.0000 0.5000 (multiplicity 1)  6 Mg 2.84

energy relative to the elements = 430.1 kJ/mol of formula units
excess energy over the best structure of this formula in the dataset = 36 meV/atom
electronic total energy = -25.64 eV/cell